Dy2YIn3Pt2Au | PBE-GGA | relaxed

As for the symmetry: Amm2 (38). The calculation puts the calculated total energy at -47.51 eV per formula unit.

Lattice parameters (Å, degrees): 3.8057 7.7959 7.7959 120.07 90.00 90.00
With the nearest neighbours (Å) after each atom.
Sites, in units of the cell vectors:
Dy: 0.0000 0.2039 0.7961  4 Pt 3.03, 6 In 3.16-3.39, 1 Au 3.18
Dy: 0.0000 0.7961 0.2039  4 Pt 3.03, 6 In 3.16-3.39, 1 Au 3.18
Y: 0.0000 0.3888 0.3888  4 Pt 3.04, 6 In 3.16-3.38, 1 Au 3.18
In: 0.5000 0.0654 0.0654  2 Au 2.83, 2 Pt 2.89, 2 Y 3.16
In: 0.5000 0.5271 0.7961  2 Au 2.83, 2 Pt 2.87-2.89, 2 Dy 3.16
In: 0.5000 0.7961 0.5271  2 Au 2.83, 2 Pt 2.87-2.89, 2 Dy 3.16
Pt: 0.5000 0.1281 0.4630  3 In 2.87-2.89, 4 Dy 3.03, 2 Y 3.04
Pt: 0.5000 0.4630 0.1281  3 In 2.87-2.89, 4 Dy 3.03, 2 Y 3.04
Au: 0.0000 0.7965 0.7965  6 In 2.83

=====

DyTmIn4Au2 | PBE-GGA | relaxed

As for the symmetry: Amm2 (38). The calculation puts the calculated total energy at -30.39 eV per formula unit.

Lattice parameters (Å, degrees): 7.2621 5.9067 5.9067 46.19 90.00 90.00
With the nearest neighbours (Å) after each atom.
Sites, in units of the cell vectors:
Dy: 0.0000 0.0000 0.0000  3 Au 3.05-3.32, 4 In 3.19
Tm: 0.5000 0.1630 0.1630  3 Au 3.04-3.33, 4 In 3.19
In: 0.2072 0.7109 0.7109  3 Au 2.83-2.87, 2 In 2.89-3.01
In: 0.2940 0.4518 0.4518  3 Au 2.83-2.86, 2 In 2.89-2.99
In: 0.7060 0.4518 0.4518  3 Au 2.83-2.86, 2 In 2.89-2.99
In: 0.7928 0.7109 0.7109  3 Au 2.83-2.87, 2 In 2.89-3.01
Au: 0.0000 0.2811 0.2811  6 In 2.83-2.87, 1 Dy 3.05
Au: 0.5000 0.8832 0.8832  6 In 2.83-2.86, 1 Tm 3.04

=====

DyIrAu | PBE-GGA | relaxed

The value obtained for the formation energy from the elements is -1.01 eV/f.u. As for the symmetry: F-43m (216).

Lattice parameters (Å, degrees): 4.5922 4.5922 4.5922 60.00 60.00 60.00
With the nearest neighbours (Å) after each atom.
Sites, in units of the cell vectors:
Dy: 0.0000 0.0000 0.0000  4 Ir 2.81
Ir: 0.7500 0.7500 0.7500  4 Au 2.81, 4 Dy 2.81
Au: 0.5000 0.5000 0.5000  4 Ir 2.81

=====

Dy3Zn3Ir2Au | PBE-GGA | relaxed

The value obtained for the formation energy from the elements is -6.38 eV/f.u. As for the symmetry: P-62m (189).

Lattice parameters (Å, degrees): 7.3092 7.3092 3.8278 90.00 90.00 120.00
With the nearest neighbours (Å) after each atom.
Sites, in units of the cell vectors:
Dy: 0.0000 0.5908 0.0000  4 Ir 2.93, 1 Au 2.99, 6 Zn 3.05-3.25
Dy: 0.4092 0.4092 0.0000  4 Ir 2.93, 1 Au 2.99, 6 Zn 3.05-3.25
Dy: 0.5908 0.0000 0.0000  4 Ir 2.93, 1 Au 2.99, 6 Zn 3.05-3.25
Zn: 0.0000 0.2667 0.5000  2 Ir 2.71, 2 Au 2.73
Zn: 0.2667 0.0000 0.5000  2 Ir 2.71, 2 Au 2.73
Zn: 0.7333 0.7333 0.5000  2 Ir 2.71, 2 Au 2.73
Ir: 0.3333 0.6667 0.5000  3 Zn 2.71, 6 Dy 2.93
Ir: 0.6667 0.3333 0.5000  3 Zn 2.71, 6 Dy 2.93
Au: 0.0000 0.0000 0.0000  6 Zn 2.73, 3 Dy 2.99